Entry 1:
Computed, not measured: a geometry-optimized Li2AgPtAu5 structure at the PBE-GGA level of DFT.

Computed properties:
As for the formation energy: -2.08 kcal/mol of atoms.

abc: 6.151 6.151 15.687
angles: 90.00 90.00 90.00
Space group I4/mcm (No. 140)
Symmetry-distinct sites (fractional):
Li 0.118 0.382 0.000 (multiplicity 8)
Ag 0.000 0.500 0.250 (multiplicity 4)
Pt 0.000 0.000 0.250 (multiplicity 4)
Au 0.000 0.000 0.000 (multiplicity 4)
Au 0.229 0.271 0.370 (multiplicity 16)

***

Entry 2:
Computed, not measured: a geometry-optimized RbLi2AgAu structure at the PBE-GGA level of DFT.

Computed properties:
As for the formation energy: -1.98 kcal/mol of atoms.

abc: 5.070 5.070 5.475
angles: 90.00 90.00 90.00
Space group P4/mmm (No. 123)
Symmetry-distinct sites (fractional):
Rb 0.000 0.000 0.000 (multiplicity 1)
Li 0.000 0.500 0.500 (multiplicity 2)
Ag 0.500 0.500 0.000 (multiplicity 1)
Au 0.500 0.500 0.500 (multiplicity 1)

***

Entry 3:
Computed, not measured: a geometry-optimized Li2ReAgAu structure at the PBE-GGA level of DFT.

Computed properties:
As for the formation energy: 27.34 kcal/mol of atoms.

abc: 4.858 4.858 4.939
angles: 90.00 90.00 90.00
Space group P4/mmm (No. 123)
Symmetry-distinct sites (fractional):
Li 0.000 0.500 0.000 (multiplicity 2)
Re 0.000 0.000 0.000 (multiplicity 1)
Ag 0.500 0.500 0.500 (multiplicity 1)
Au 0.000 0.000 0.500 (multiplicity 1)

***

Entry 4:
Computed, not measured: a geometry-optimized LiAgRh2Au structure at the PBE-GGA level of DFT.

Computed properties:
As for the formation energy: 25.34 kcal/mol of atoms.

abc: 4.886 4.886 4.231
angles: 90.00 90.00 90.00
Space group P4/mmm (No. 123)
Symmetry-distinct sites (fractional):
Li 0.000 0.000 0.000 (multiplicity 1)
Ag 0.000 0.000 0.500 (multiplicity 1)
Rh 0.000 0.500 0.500 (multiplicity 2)
Au 0.500 0.500 0.000 (multiplicity 1)

***

Entry 5:
Computed, not measured: a geometry-optimized Li2Ag7Sb2Au structure at the PBE-GGA level of DFT.

Computed properties:
The uncorrected formation energy is -0.086 eV/atom.

abc: 5.906 5.965 13.091
angles: 90.00 90.24 90.00
Space group C2/m (No. 12)
Symmetry-distinct sites (fractional):
Li 0.001 0.000 0.185 (multiplicity 4)
Ag 0.000 0.000 0.500 (multiplicity 2)
Ag 0.246 0.000 0.000 (multiplicity 4)
Ag 0.250 0.249 0.343 (multiplicity 8)
Sb 0.002 0.500 0.189 (multiplicity 4)
Au 0.000 0.500 0.500 (multiplicity 2)

***

Entry 6:
Computed, not measured: a geometry-optimized LiAgAu2Se structure at the PBE-GGA level of DFT.

Computed properties:
The uncorrected formation energy is 0.373 eV/atom.

abc: 4.538 4.538 4.612
angles: 90.00 90.00 90.00
Space group P4/mmm (No. 123)
Symmetry-distinct sites (fractional):
Li 0.000 0.000 0.000 (multiplicity 1)
Ag 0.000 0.000 0.500 (multiplicity 1)
Au 0.000 0.500 0.000 (multiplicity 2)
Se 0.500 0.500 0.500 (multiplicity 1)